[1]
# NaAlAsIr

NaAlAsIr after structural relaxation (PBE, the Open Quantum Materials Database).

Geometry as POSCAR:
```
NaAlAsIr
1.0
0.000 3.157 3.157
3.157 0.000 3.157
3.157 3.157 0.000
Al Ir As Na
1 1 1 1
Cartesian
3.157 3.157 3.157
1.578 1.578 1.578
0.000 0.000 0.000
4.735 4.735 4.735
```

## Properties
* symmetry: No. 216
* energy above the most stable polymorph in this dataset: 0 meV/atom



[2]
# Li4AlAsPd2

Li4AlAsPd2 after structural relaxation (PBE, the Open Quantum Materials Database).

Geometry as POSCAR:
```
Li4AlAsPd2
1.0
4.276 0.000 0.000
0.000 4.276 0.000
0.000 0.000 6.086
Li Pd As Al
4 2 1 1
Cartesian
2.138 0.000 4.628
0.000 0.000 0.000
2.138 2.138 3.043
0.000 2.138 1.458
2.138 0.000 1.560
0.000 2.138 4.526
2.138 2.138 0.000
0.000 0.000 3.043
```

## Properties
* E_tot: -3.889 eV per atom
* symmetry: No. 115



[3]
# Li4AlAsPt2

Li4AlAsPt2 after structural relaxation (PBE, the Open Quantum Materials Database).

Geometry as POSCAR:
```
Li4AlAsPt2
1.0
4.261 0.000 0.000
0.000 4.261 0.000
0.000 0.000 6.063
Pt Li As Al
2 4 1 1
Cartesian
0.000 2.130 1.478
2.130 0.000 4.585
2.130 2.130 3.031
0.000 0.000 0.000
2.130 0.000 1.535
0.000 2.130 4.527
0.000 0.000 3.031
2.130 2.130 0.000
```

## Properties
* E_tot: -4.200 eV per atom
* symmetry: No. 115



[4]
# Lu4AlAsN2

Lu4AlAsN2 after structural relaxation (PBE, the Open Quantum Materials Database).

Geometry as POSCAR:
```
Lu4AlAsN2
1.0
3.453 0.000 0.000
-1.727 2.991 0.000
0.000 0.000 13.940
As Lu N Al
1 4 2 1
Cartesian
1.727 0.997 6.970
0.000 0.000 4.949
0.000 0.000 8.991
1.727 0.997 11.590
1.727 0.997 2.351
0.000 1.994 3.676
0.000 1.994 10.265
0.000 0.000 0.000
```

## Properties
* E_tot: -6.586 eV per atom
* symmetry: No. 187